No. 1
This record from Alexandria via LeMat-Bulk describes a relaxed NbIn3Os crystal. The functional is PBE.

- Energy relative to the lowest polymorph listed for this composition: 824.1 meV per atom
- E: -4.111 eV per atom
- SG: No. 221
- Energy relative to the elements: 1.792 eV per atom

Unit cell a=5.3018 b=5.3018 c=5.3018 alpha=90.00 beta=90.00 gamma=90.00
Closest atoms and distances in Å follow each position.
Fractional coordinates of all 5 atoms:
Nb (0.0000, 0.0000, 0.0000)  6 In 2.65
In (0.0000, 0.0000, 0.5000)  2 Nb 2.65
In (0.0000, 0.5000, 0.0000)  2 Nb 2.65
In (0.5000, 0.0000, 0.0000)  2 Nb 2.65
Os (0.5000, 0.5000, 0.5000)  12 In 3.75



No. 2
This record from Alexandria via LeMat-Bulk describes a relaxed Nb2InOs crystal. The functional is PBE.

- E: -8.097 eV per atom
- SG: No. 122
- Energy relative to the elements: 0.430 eV per atom

Unit cell a=6.0862 b=6.0862 c=6.0862 alpha=101.83 beta=101.83 gamma=126.16
Closest atoms and distances in Å follow each position.
Fractional coordinates of all 8 atoms:
Nb (0.0696, 0.6250, 0.9446)  2 Os 2.53
Nb (0.3750, 0.3196, 0.4446)  2 Os 2.53
Nb (0.6804, 0.1250, 0.0554)  2 Os 2.53
Nb (0.8750, 0.9304, 0.5554)  2 Os 2.53
In (0.2500, 0.7500, 0.5000)  2 Os 2.76
In (0.5000, 0.5000, 0.0000)  2 Os 2.76
Os (0.0000, 0.0000, 0.0000)  4 Nb 2.53, 2 In 2.76
Os (0.7500, 0.2500, 0.5000)  4 Nb 2.53, 2 In 2.76



No. 3
This record from Alexandria via LeMat-Bulk describes a relaxed NbInOs2 crystal. The functional is PBE.

- E: -8.013 eV per atom
- SG: No. 122
- Energy relative to the elements: 0.804 eV per atom

Unit cell a=5.9069 b=5.9069 c=5.9069 alpha=102.77 beta=102.77 gamma=123.92
Closest atoms and distances in Å follow each position.
Fractional coordinates of all 8 atoms:
Nb (0.0000, 0.0000, 0.0000)  4 Os 2.52, 2 In 2.78
Nb (0.7500, 0.2500, 0.5000)  4 Os 2.52, 2 In 2.78
In (0.2500, 0.7500, 0.5000)  2 Nb 2.78, 4 Os 2.89
In (0.5000, 0.5000, 0.0000)  2 Nb 2.78, 4 Os 2.89
Os (0.0878, 0.6250, 0.9628)  2 Nb 2.52
Os (0.3750, 0.3378, 0.4628)  2 Nb 2.52
Os (0.6622, 0.1250, 0.0372)  2 Nb 2.52
Os (0.8750, 0.9122, 0.5372)  2 Nb 2.52



No. 4
This record from Alexandria via LeMat-Bulk describes a relaxed NbIn3Os crystal. The functional is PBE.

- Energy relative to the lowest polymorph listed for this composition: 0.0 meV per atom
- E: -4.935 eV per atom
- SG: No. 221
- Energy relative to the elements: 0.968 eV per atom

Unit cell a=5.1241 b=5.1241 c=5.1241 alpha=90.00 beta=90.00 gamma=90.00
Closest atoms and distances in Å follow each position.
Fractional coordinates of all 5 atoms:
Nb (0.0000, 0.0000, 0.0000)  12 In 3.62
In (0.0000, 0.5000, 0.5000)  2 Os 2.56
In (0.5000, 0.0000, 0.5000)  2 Os 2.56
In (0.5000, 0.5000, 0.0000)  2 Os 2.56
Os (0.5000, 0.5000, 0.5000)  6 In 2.56



Repeat the third record exactly.
This record from Alexandria via LeMat-Bulk describes a relaxed NbInOs2 crystal. The functional is PBE.

- E: -8.013 eV per atom
- SG: No. 122
- Energy relative to the elements: 0.804 eV per atom

Unit cell a=5.9069 b=5.9069 c=5.9069 alpha=102.77 beta=102.77 gamma=123.92
Closest atoms and distances in Å follow each position.
Fractional coordinates of all 8 atoms:
Nb (0.0000, 0.0000, 0.0000)  4 Os 2.52, 2 In 2.78
Nb (0.7500, 0.2500, 0.5000)  4 Os 2.52, 2 In 2.78
In (0.2500, 0.7500, 0.5000)  2 Nb 2.78, 4 Os 2.89
In (0.5000, 0.5000, 0.0000)  2 Nb 2.78, 4 Os 2.89
Os (0.0878, 0.6250, 0.9628)  2 Nb 2.52
Os (0.3750, 0.3378, 0.4628)  2 Nb 2.52
Os (0.6622, 0.1250, 0.0372)  2 Nb 2.52
Os (0.8750, 0.9122, 0.5372)  2 Nb 2.52



> What is the energy relative to the elements in the third record?

0.804 eV per atom